(1)
BeTeAu2 PBE-GGA optimized geometry; distance to the lowest polymorph of the same formula = 422 meV/atom; space group = F-43m (216); ΔE_f (raw) = 447.6 meV per atom; raw total energy = -11.6 eV per cell
1.0
0.0000 3.3664 3.3664
3.3664 0.0000 3.3664
3.3664 3.3664 0.0000
Be Te Au
1 1 2
direct
0.0000 0.0000 0.0000
0.7500 0.7500 0.7500
0.2500 0.2500 0.2500
0.5000 0.5000 0.5000

=====

(2)
Be2TeAu PBE-GGA optimized geometry; space group = F-43m (216); ΔE_f (raw) = 831.5 meV per atom; raw total energy = -10.5 eV per cell
1.0
0.0000 3.2801 3.2801
3.2801 0.0000 3.2801
3.2801 3.2801 0.0000
Be Te Au
2 1 1
direct
0.0000 0.0000 0.0000
0.2500 0.2500 0.2500
0.5000 0.5000 0.5000
0.7500 0.7500 0.7500

=====

(3)
Be2TeAu2 PBE-GGA optimized geometry; distance to the lowest polymorph of the same formula = 0 meV/atom; space group = I4/mmm (139); ΔE_f (raw) = -37.5 meV per atom; raw total energy = -17.3 eV per cell
1.0
-1.8314 1.8314 6.3814
1.8314 -1.8314 6.3814
1.8314 1.8314 -6.3814
Be Te Au
2 1 2
direct
0.2500 0.7500 0.5000
0.7500 0.2500 0.5000
0.0000 0.0000 0.0000
0.3666 0.3666 0.0000
0.6334 0.6334 0.0000

=====

(4)
Be2TeAu PBE-GGA optimized geometry; space group = R3m (160); ΔE_f (raw) = 240.2 meV per atom; raw total energy = -12.9 eV per cell
1.0
1.8734 1.0816 5.7194
-1.8734 1.0816 5.7194
0.0000 -2.1632 5.7194
Be Te Au
2 1 1
direct
0.0000 0.0000 0.0000
0.2708 0.2708 0.2708
0.7415 0.7415 0.7415
0.5548 0.5548 0.5548

=====

(5)
BeTeAu2 PBE-GGA optimized geometry; distance to the lowest polymorph of the same formula = 363 meV/atom; space group = I-4m2 (119); ΔE_f (raw) = 389.3 meV per atom; raw total energy = -11.9 eV per cell
1.0
-2.1160 2.1160 4.1834
2.1160 -2.1160 4.1834
2.1160 2.1160 -4.1834
Be Te Au
1 1 2
direct
0.0000 0.0000 0.0000
0.2500 0.7500 0.5000
0.5000 0.5000 0.0000
0.7500 0.2500 0.5000

=====

(6)
BeTe2Au PBE-GGA optimized geometry; space group = P4mm (99); ΔE_f (raw) = 179.0 meV per atom; raw total energy = -12.6 eV per cell
1.0
3.7992 0.0000 0.0000
0.0000 3.7992 0.0000
0.0000 0.0000 7.5347
Be Te Au
1 2 1
direct
0.0000 0.0000 0.0000
0.0000 0.0000 0.6646
0.5000 0.5000 0.1351
0.5000 0.5000 0.7643

=====

(7)
Be2TeAu PBE-GGA optimized geometry; space group = Cm (8); ΔE_f (raw) = 123.6 meV per atom; raw total energy = -13.4 eV per cell
1.0
3.8422 -1.8457 0.0000
3.8422 1.8457 0.0000
-0.9692 0.0000 5.6632
Be Te Au
2 1 1
direct
0.0000 0.0000 0.0000
0.6973 0.6973 0.9934
0.2598 0.2598 0.2861
0.4076 0.4076 0.7809

=====

(8)
Be2TeAu PBE-GGA optimized geometry; space group = C2/m (12); ΔE_f (raw) = 444.4 meV per atom; raw total energy = -12.1 eV per cell
1.0
3.6568 -2.8313 0.0000
3.6568 2.8313 0.0000
-1.9963 0.0000 3.7261
Be Te Au
2 1 1
direct
0.0000 0.5000 0.0000
0.5000 0.0000 0.0000
0.0000 0.0000 0.5000
0.5000 0.5000 0.5000

=====

(9)
BeTeAu2 PBE-GGA optimized geometry; distance to the lowest polymorph of the same formula = 26 meV/atom; space group = C2/m (12); ΔE_f (raw) = 51.8 meV per atom; raw total energy = -13.2 eV per cell
1.0
3.3919 -1.9581 0.0000
3.3919 1.9581 0.0000
-2.2750 0.0000 5.7783
Be Te Au
1 1 2
direct
0.0000 0.0000 0.0000
0.5000 0.5000 0.5000
0.2782 0.2782 0.8346
0.7218 0.7218 0.1654

=====

(10)
BeTe2Au PBE-GGA optimized geometry; space group = P4/mmm (123); ΔE_f (raw) = 517.2 meV per atom; raw total energy = -11.2 eV per cell
1.0
3.4009 0.0000 0.0000
0.0000 3.4009 0.0000
0.0000 0.0000 7.3556
Be Te Au
1 2 1
direct
0.0000 0.0000 0.0000
0.5000 0.5000 0.2093
0.5000 0.5000 0.7907
0.0000 0.0000 0.5000

=====

(11)
BeTe2Au PBE-GGA optimized geometry; space group = P2/m (10); ΔE_f (raw) = 231.5 meV per atom; raw total energy = -12.4 eV per cell
1.0
4.9660 0.0000 0.0000
0.0000 3.8500 0.0000
-1.4244 0.0000 4.7722
Be Te Au
1 2 1
direct
0.0000 0.0000 0.0000
0.2225 0.5000 0.7773
0.7775 0.5000 0.2227
0.5000 0.0000 0.5000

=====

(12)
BeTe3Au PBE-GGA optimized geometry; distance to the lowest polymorph of the same formula = 0 meV/atom; space group = Pm-3m (221); ΔE_f (raw) = 557.5 meV per atom; raw total energy = -13.6 eV per cell
1.0
4.9559 0.0000 0.0000
0.0000 4.9559 0.0000
0.0000 0.0000 4.9559
Be Te Au
1 3 1
direct
0.0000 0.0000 0.0000
0.0000 0.0000 0.5000
0.0000 0.5000 0.0000
0.5000 0.0000 0.0000
0.5000 0.5000 0.5000